(1)
A plane-wave DFT calculation with PBE was carried out for crystalline CsZrSc3 at its relaxed geometry.

a = 5.214 Å, b = 5.214 Å, c = 5.214 Å
α = 90.00°, β = 90.00°, γ = 90.00°
Atoms (fractional coordinates):
Cs: 0.000 0.000 0.000
Zr: 0.500 0.500 0.500
Sc: 0.000 0.000 0.500
Sc: 0.000 0.500 0.000
Sc: 0.500 0.000 0.000

Properties
Polymorph energy (0 for the lowest one) = 57.1 kJ/mol of atoms

=====

(2)
A plane-wave DFT calculation with PBE was carried out for crystalline Ac2Sm2Ho7 at its relaxed geometry.

a = 10.661 Å, b = 10.661 Å, c = 10.661 Å
α = 159.95°, β = 112.05°, γ = 71.65°
Atoms (fractional coordinates):
Ac: 0.193 0.193 0.000
Ac: 0.807 0.807 0.000
Sm: 0.246 0.000 0.246
Sm: 0.754 0.000 0.754
Ho: 0.000 0.500 0.500
Ho: 0.100 0.333 0.767
Ho: 0.391 0.891 0.500
Ho: 0.435 0.667 0.767
Ho: 0.565 0.333 0.233
Ho: 0.609 0.109 0.500
Ho: 0.900 0.667 0.233

Properties
Electronic total energy = -4.3870 eV per atom

=====

(3)
A plane-wave DFT calculation with PBE was carried out for crystalline HfCoCuAu2 at its relaxed geometry.

a = 4.676 Å, b = 4.676 Å, c = 4.333 Å
α = 90.00°, β = 90.00°, γ = 90.00°
Atoms (fractional coordinates):
Hf: 0.000 0.000 0.000
Co: 0.500 0.500 0.000
Cu: 0.500 0.500 0.500
Au: 0.000 0.500 0.500
Au: 0.500 0.000 0.500

Properties
Electronic total energy = -4.9206 eV per atom

=====

(4)
A plane-wave DFT calculation with PBE was carried out for crystalline Sn2Hg3H2 at its relaxed geometry.

a = 5.081 Å, b = 5.085 Å, c = 7.400 Å
α = 71.41°, β = 72.04°, γ = 69.39°
Atoms (fractional coordinates):
Sn: 0.156 0.153 0.309
Sn: 0.844 0.847 0.691
Hg: 0.300 0.303 0.698
Hg: 0.500 0.500 0.000
Hg: 0.700 0.697 0.302
H: 0.027 0.030 0.159
H: 0.973 0.970 0.841

Properties
Electronic total energy = -2.0682 eV per atom

=====

(5)
A plane-wave DFT calculation with PBE was carried out for crystalline SiMo2Cl at its relaxed geometry.

a = 8.419 Å, b = 3.159 Å, c = 7.255 Å
α = 90.00°, β = 120.96°, γ = 90.00°
Atoms (fractional coordinates):
Si: 0.000 0.000 0.000
Si: 0.500 0.500 0.000
Mo: 0.215 0.000 0.853
Mo: 0.285 0.500 0.147
Mo: 0.715 0.500 0.853
Mo: 0.785 0.000 0.147
Cl: 0.000 0.500 0.500
Cl: 0.500 0.000 0.500

Properties
Polymorph energy (0 for the lowest one) = 18.8 kJ/mol of atoms
Formation energy without anion corrections = 18 kJ per mole of atoms

=====

(6)
A plane-wave DFT calculation with PBE was carried out for crystalline KCdW2 at its relaxed geometry.

a = 2.755 Å, b = 5.638 Å, c = 5.271 Å
α = 90.00°, β = 93.11°, γ = 90.00°
Atoms (fractional coordinates):
K: 0.000 0.000 0.000
Cd: 0.500 0.000 0.500
W: 0.324 0.500 0.754
W: 0.676 0.500 0.246

Properties
Electronic total energy = -5.6600 eV per atom

=====

(7)
A plane-wave DFT calculation with PBE was carried out for crystalline SrPm2RuN4 at its relaxed geometry.

a = 6.380 Å, b = 6.380 Å, c = 12.040 Å
α = 90.00°, β = 90.00°, γ = 147.65°
Atoms (fractional coordinates):
Sr: 0.112 0.888 0.750
Sr: 0.888 0.112 0.250
Pm: 0.368 0.632 0.537
Pm: 0.368 0.632 0.963
Pm: 0.632 0.368 0.037
Pm: 0.632 0.368 0.463
Ru: 0.157 0.843 0.250
Ru: 0.843 0.157 0.750
N: 0.000 0.000 0.000
N: 0.000 0.000 0.500
N: 0.260 0.740 0.126
N: 0.260 0.740 0.374
N: 0.415 0.585 0.750
N: 0.585 0.415 0.250
N: 0.740 0.260 0.626
N: 0.740 0.260 0.874

Properties
Formation energy without anion corrections = -74 kJ per mole of atoms

=====

(8)
A plane-wave DFT calculation with PBE was carried out for crystalline Er4ThSc2 at its relaxed geometry.

a = 5.794 Å, b = 6.450 Å, c = 11.346 Å
α = 90.00°, β = 104.81°, γ = 90.00°
Atoms (fractional coordinates):
Er: 0.036 0.250 0.172
Er: 0.168 0.750 0.422
Er: 0.365 0.503 0.711
Er: 0.365 0.997 0.711
Er: 0.635 0.003 0.289
Er: 0.635 0.497 0.289
Er: 0.832 0.250 0.578
Er: 0.964 0.750 0.828
Th: 0.167 0.750 0.122
Th: 0.833 0.250 0.878
Sc: 0.271 0.250 0.448
Sc: 0.397 0.250 0.997
Sc: 0.603 0.750 0.003
Sc: 0.729 0.750 0.552

Properties
Polymorph energy (0 for the lowest one) = 0.0 kJ/mol of atoms

=====

Computed values of total magnetization (unit: μB/f.u.) for the preceding records, in sequence: 0.80; 0.00; 1.72; 0.00; 0.00; 0.00; 0.00; 0.00.